{
  "formula": "NpAgO4",
  "functional": "PBE",
  "state": "relaxed",
  "cell": [[5.343, 0.000, 0.000], [0.000, 5.015, -3.338], [0.000, -0.160, 7.048]],
  "species": ["Np", "Np", "Ag", "Ag", "O", "O", "O", "O", "O", "O", "O", "O"],
  "frac_coords": [[0.500, 0.500, 0.500], [0.000, 0.000, 0.000], [0.000, 0.000, 0.500], [0.500, 0.500, 0.000], [0.704, 0.665, 0.790], [0.796, 0.165, 0.290], [0.336, 0.284, 0.573], [0.836, 0.216, 0.927], [0.164, 0.784, 0.073], [0.664, 0.716, 0.427], [0.204, 0.835, 0.710], [0.296, 0.335, 0.210]],
  "e_form_raw_ev_per_atom": -1.888,
  "relative_energy_mev_per_atom": 0,
  "dft_energy_ev_per_atom": -7.83,
  "m_tot_mub_per_fu": 0.05
}